Entry 1:
VASP calculation (GGA-PBE) on an optimized crystal structure of LuScZnRu.

a b c (Å): 4.7223 4.7223 4.7223
angles (deg): 60.00 60.00 60.00
With the nearest neighbours (Å) after each atom.
Element x y z (fractional)
Sc (0.0000, 0.0000, 0.0000)  4 Zn 2.89, 4 Ru 2.89
Ru (0.7500, 0.7500, 0.7500)  4 Sc 2.89, 4 Lu 2.89
Zn (0.2500, 0.2500, 0.2500)  4 Sc 2.89, 4 Lu 2.89
Lu (0.5000, 0.5000, 0.5000)  4 Ru 2.89, 4 Zn 2.89

- Final energy: -23.19 eV per cell
- Calculated density: 8.6 g/cm³
- N(E_F): 4.0 states/eV per cell

---

Entry 2:
VASP calculation (GGA-PBE) on an optimized crystal structure of Ac2AlAg.

a b c (Å): 3.8724 3.8724 11.2716
angles (deg): 80.11 80.11 60.00
With the nearest neighbours (Å) after each atom.
Element x y z (fractional)
Ac (0.0951, 0.0951, 0.7148)  1 Ag 3.15, 3 Al 3.26
Ac (0.9049, 0.9049, 0.2852)  1 Ag 3.15, 3 Al 3.26
Al (0.5000, 0.5000, 0.5000)  6 Ac 3.26
Ag (0.0000, 0.0000, 0.0000)  2 Ac 3.15

- Final energy: -13.77 eV per cell
- Calculated density: 6.8 g/cm³
- N(E_F): 1.7 states/eV per cell

---

Entry 3:
VASP calculation (GGA-PBE) on an optimized crystal structure of Y2MoBr.

a b c (Å): 5.1110 5.1110 5.1110
angles (deg): 60.00 60.00 60.00
With the nearest neighbours (Å) after each atom.
Element x y z (fractional)
Y (0.2500, 0.2500, 0.2500)  4 Mo 3.13, 4 Br 3.13
Y (0.7500, 0.7500, 0.7500)  4 Mo 3.13, 4 Br 3.13
Mo (0.5000, 0.5000, 0.5000)  8 Y 3.13
Br (0.0000, 0.0000, 0.0000)  8 Y 3.13

- Raw formation energy: 0.22 eV/atom
- Final energy: -24.55 eV per cell
- Calculated density: 6.2 g/cm³
- N(E_F): 2.1 states/eV per cell
- E above lowest polymorph: 557 meV per atom

---

Entry 4:
VASP calculation (GGA-PBE) on an optimized crystal structure of CaLa3Dy2Se6.

a b c (Å): 7.2548 7.2548 7.3690
angles (deg): 99.40 99.40 120.05
With the nearest neighbours (Å) after each atom.
Element x y z (fractional)
Ca (0.0000, 0.0000, 0.0000)  6 Se 2.91-2.92
La (0.1650, 0.8350, 0.5000)  6 Se 3.05
La (0.8350, 0.1650, 0.5000)  6 Se 3.05
La (0.5000, 0.5000, 0.5000)  6 Se 3.05-3.06
Dy (0.3330, 0.6670, 0.0000)  6 Se 2.90-2.91
Dy (0.6670, 0.3330, 0.0000)  6 Se 2.90-2.91
Se (0.9224, 0.5872, 0.7668)  2 Dy 2.90-2.91, 1 Ca 2.92, 3 La 3.05-3.06
Se (0.7418, 0.7418, 0.2303)  2 Dy 2.90, 1 Ca 2.91, 3 La 3.05
Se (0.0776, 0.4128, 0.2332)  2 Dy 2.90-2.91, 1 Ca 2.92, 3 La 3.05-3.06
Se (0.5872, 0.9224, 0.7668)  2 Dy 2.90-2.91, 1 Ca 2.92, 3 La 3.05-3.06
Se (0.2582, 0.2582, 0.7697)  2 Dy 2.90, 1 Ca 2.91, 3 La 3.05
Se (0.4128, 0.0776, 0.2332)  2 Dy 2.90-2.91, 1 Ca 2.92, 3 La 3.05-3.06

- Raw formation energy: -1.91 eV/atom
- Final energy: -69.79 eV per cell
- Calculated density: 6.6 g/cm³
- N(E_F): 6.7 states/eV per cell

---

Entry 5:
VASP calculation (GGA-PBE) on an optimized crystal structure of Ba2PSe.

a b c (Å): 8.4120 8.4120 8.4120
angles (deg): 31.95 31.95 31.95
With the nearest neighbours (Å) after each atom.
Element x y z (fractional)
Ba (0.7510, 0.7510, 0.7510)  3 Se 3.32, 3 P 3.35
Ba (0.2490, 0.2490, 0.2490)  3 Se 3.32, 3 P 3.35
P (0.0000, 0.0000, 0.0000)  6 Ba 3.35
Se (0.5000, 0.5000, 0.5000)  6 Ba 3.32

- Raw formation energy: -1.30 eV/atom
- Final energy: -17.92 eV per cell
- Calculated density: 4.3 g/cm³
- N(E_F): 3.2 states/eV per cell
- E above lowest polymorph: 14 meV per atom

---

Entry 6:
VASP calculation (GGA-PBE) on an optimized crystal structure of LaAs2P2Pd7.

a b c (Å): 4.7536 4.7536 9.6576
angles (deg): 90.32 90.32 90.65
With the nearest neighbours (Å) after each atom.
Element x y z (fractional)
La (0.0000, 0.0000, 0.0000)  2 P 2.99, 6 Pd 3.34
As (0.9327, 0.9327, 0.3545)  6 Pd 2.47-2.66
As (0.0673, 0.0673, 0.6455)  6 Pd 2.47-2.66
P (0.6666, 0.6666, 0.7921)  6 Pd 2.30-2.50
P (0.3334, 0.3334, 0.2079)  6 Pd 2.30-2.50
Pd (0.5000, 0.5000, 0.0000)  2 P 2.30
Pd (0.3064, 0.3064, 0.4520)  1 P 2.37, 1 As 2.47
Pd (0.6936, 0.6936, 0.5480)  1 P 2.37, 1 As 2.47
Pd (0.8288, 0.4208, 0.2636)  2 P 2.44-2.50, 2 As 2.54-2.62
Pd (0.4208, 0.8288, 0.2636)  2 P 2.44-2.50, 2 As 2.54-2.62
Pd (0.5792, 0.1712, 0.7364)  2 P 2.44-2.50, 2 As 2.54-2.62
Pd (0.1712, 0.5792, 0.7364)  2 P 2.44-2.50, 2 As 2.54-2.62

- Final energy: -67.31 eV per cell
- Calculated density: 8.3 g/cm³
- N(E_F): 5.4 states/eV per cell

---

Entry 7:
VASP calculation (GGA-PBE) on an optimized crystal structure of YPu2NpS4.

a b c (Å): 4.8854 8.3472 4.8816
angles (deg): 125.83 90.00 90.00
With the nearest neighbours (Å) after each atom.
Element x y z (fractional)
Y (0.0000, 0.0000, 0.0000)  8 S 2.97-2.98
Pu (0.5000, 0.0000, 0.5000)  8 S 2.97-2.98
Pu (0.0000, 0.5000, 0.5000)  8 S 2.96-2.97
Np (0.5000, 0.5000, 0.0000)  8 S 2.96-2.97
S (0.5000, 0.2512, 0.2512)  2 Np 2.96-2.97, 4 Pu 2.97-2.98, 2 Y 2.98
S (0.5000, 0.7488, 0.7488)  2 Np 2.96-2.97, 4 Pu 2.97-2.98, 2 Y 2.98
S (0.0000, 0.2512, 0.7512)  4 Pu 2.96-2.98, 2 Np 2.97, 2 Y 2.97-2.98
S (0.0000, 0.7488, 0.2488)  4 Pu 2.96-2.98, 2 Np 2.97, 2 Y 2.97-2.98

- Raw formation energy: -1.30 eV/atom
- Final energy: -74.95 eV per cell
- Calculated density: 9.7 g/cm³
- N(E_F): 22.2 states/eV per cell

---

Entry 8:
VASP calculation (GGA-PBE) on an optimized crystal structure of PmYS3.

a b c (Å): 7.0294 7.0295 7.4388
angles (deg): 61.80 61.81 60.00
With the nearest neighbours (Å) after each atom.
Element x y z (fractional)
Pm (0.3547, 0.3547, 0.9359)  6 S 2.79-2.88
Pm (0.6453, 0.6453, 0.0641)  6 S 2.79-2.88
Y (0.8490, 0.8491, 0.4529)  6 S 2.73-2.79
Y (0.1510, 0.1509, 0.5471)  6 S 2.73-2.79
S (0.7610, 0.4471, 0.7482)  2 Y 2.73-2.79, 2 Pm 2.79-2.88
S (0.0437, 0.7610, 0.7482)  2 Y 2.73-2.79, 2 Pm 2.79-2.88
S (0.4471, 0.0437, 0.7482)  2 Y 2.73-2.79, 2 Pm 2.79-2.88
S (0.2390, 0.5529, 0.2518)  2 Y 2.73-2.79, 2 Pm 2.79-2.88
S (0.9563, 0.2390, 0.2518)  2 Y 2.73-2.79, 2 Pm 2.79-2.88
S (0.5529, 0.9563, 0.2518)  2 Y 2.73-2.79, 2 Pm 2.79-2.88

- Raw formation energy: -2.04 eV/atom
- Final energy: -67.63 eV per cell
- Calculated density: 4.1 g/cm³
- N(E_F): 0.0 states/eV per cell
- E above lowest polymorph: 40 meV per atom